1.
SiHgC3 | GGA-PBE | optimized geometry

Geometry as extended XYZ:
```
5
Lattice="3.8747 0.0000 0.0000 0.0000 3.8747 0.0000 0.0000 0.0000 3.8747" Properties=species:S:1:pos:R:3 pbc="T T T"
Si 0.0000 0.0000 0.0000
Hg 1.9373 1.9373 1.9373
C 0.0000 0.0000 1.9373
C 0.0000 1.9373 0.0000
C 1.9373 0.0000 0.0000
```

Energy above the most stable polymorph in this dataset = 0.000 eV per atom
Uncorrected formation energy = 2128 meV/atom
M_tot = 0.00 μB/f.u.
Volume = 58.17 Å³/cell
Symmetry = Pm-3m, No. 221
DOS at the Fermi energy = 1.32 states/eV/cell

2.
SiHg2C2 | GGA-PBE | optimized geometry

Geometry as extended XYZ:
```
10
Lattice="5.3575 0.0000 0.0000 0.0000 5.3575 0.0000 0.0000 0.0000 5.7926" Properties=species:S:1:pos:R:3 pbc="T T T"
Si 0.0000 0.0000 0.0000
Si 2.6787 2.6787 0.0000
Hg 1.0093 1.6694 2.8963
Hg 1.6694 4.3482 2.8963
Hg 3.6881 1.0093 2.8963
Hg 4.3482 3.6881 2.8963
C 1.3202 1.3585 0.0000
C 1.3585 4.0373 0.0000
C 3.9990 1.3202 0.0000
C 4.0373 3.9990 0.0000
```

Energy above the most stable polymorph in this dataset = 0.000 eV per atom
Uncorrected formation energy = 1445 meV/atom
M_tot = 0.00 μB/f.u.
Volume = 166.26 Å³/cell
Symmetry = P4/mbm, No. 127
DOS at the Fermi energy = 3.48 states/eV/cell

3.
SiHg2C2 | GGA-PBE | optimized geometry

Geometry as extended XYZ:
```
5
Lattice="-2.2059 2.2059 4.4555 2.2059 -2.2059 4.4555 2.2059 2.2059 -4.4555" Properties=species:S:1:pos:R:3 pbc="T T T"
Si 0.0000 0.0000 0.0000
Hg 2.2059 0.0000 2.2277
Hg 0.0000 2.2059 2.2277
C 0.0000 0.0000 3.7979
C 0.0000 0.0000 5.1130
```

Energy above the most stable polymorph in this dataset = 0.131 eV per atom
Uncorrected formation energy = 1576 meV/atom
M_tot = 0.00 μB/f.u.
Volume = 86.72 Å³/cell
Symmetry = I4/mmm, No. 139
DOS at the Fermi energy = 3.92 states/eV/cell

4.
SiHgC2 | GGA-PBE | optimized geometry

Geometry as extended XYZ:
```
8
Lattice="-2.4659 2.4659 4.4611 2.4659 -2.4659 4.4611 2.4659 2.4659 -4.4611" Properties=species:S:1:pos:R:3 pbc="T T T"
Si 0.0000 0.0000 0.0000
Si 0.0000 2.4659 2.2306
Hg 2.4659 0.0000 2.2306
Hg 0.0000 0.0000 4.4611
C 3.6989 0.8712 -1.1153
C 0.8712 1.2330 1.1153
C -1.2330 1.5947 3.3459
C 1.5947 1.2330 5.5764
```

Energy above the most stable polymorph in this dataset = 0.000 eV per atom
Uncorrected formation energy = 1069 meV/atom
M_tot = 0.00 μB/f.u.
Volume = 108.51 Å³/cell
Symmetry = I-42d, No. 122
DOS at the Fermi energy = 2.33 states/eV/cell

5.
Si2HgC | GGA-PBE | optimized geometry

Geometry as extended XYZ:
```
8
Lattice="-2.6858 2.6858 4.5854 2.6858 -2.6858 4.5854 2.6858 2.6858 -4.5854" Properties=species:S:1:pos:R:3 pbc="T T T"
Si 4.0287 0.8234 -1.1463
Si 0.8234 1.3429 1.1463
Si -1.3429 1.8623 3.4390
Si 1.8623 1.3429 5.7317
Hg 2.6858 0.0000 2.2927
Hg 0.0000 0.0000 4.5854
C 0.0000 0.0000 0.0000
C 0.0000 2.6858 2.2927
```

Energy above the most stable polymorph in this dataset = 0.000 eV per atom
Uncorrected formation energy = 521 meV/atom
M_tot = 0.00 μB/f.u.
Volume = 132.31 Å³/cell
Symmetry = I-42d, No. 122
DOS at the Fermi energy = 0.65 states/eV/cell

6.
SiHg3C | GGA-PBE | optimized geometry

Geometry as extended XYZ:
```
5
Lattice="5.1749 0.0000 0.0000 0.0000 5.1749 0.0000 0.0000 0.0000 5.1749" Properties=species:S:1:pos:R:3 pbc="T T T"
Si 0.0000 0.0000 0.0000
Hg 0.0000 0.0000 2.5875
Hg 0.0000 2.5875 0.0000
Hg 2.5875 0.0000 0.0000
C 2.5875 2.5875 2.5875
```

Energy above the most stable polymorph in this dataset = 0.192 eV per atom
Uncorrected formation energy = 1521 meV/atom
M_tot = 2.71 μB/f.u.
Volume = 138.58 Å³/cell
Symmetry = Pm-3m, No. 221
DOS at the Fermi energy = 1.63 states/eV/cell

7.
Si2HgC | GGA-PBE | optimized geometry

Geometry as extended XYZ:
```
4
Lattice="0.0000 3.1603 3.1603 3.1603 0.0000 3.1603 3.1603 3.1603 0.0000" Properties=species:S:1:pos:R:3 pbc="T T T"
Si 1.5801 1.5801 1.5801
Si 4.7404 4.7404 4.7404
Hg 0.0000 0.0000 0.0000
C 3.1603 3.1603 3.1603
```

Energy above the most stable polymorph in this dataset = 1.202 eV per atom
Uncorrected formation energy = 1723 meV/atom
M_tot = 0.00 μB/f.u.
Volume = 63.12 Å³/cell
Symmetry = Fm-3m, No. 225
DOS at the Fermi energy = 2.12 states/eV/cell

8.
SiHg3C | GGA-PBE | optimized geometry

Geometry as extended XYZ:
```
5
Lattice="4.7282 0.0000 0.0000 0.0000 4.7282 0.0000 0.0000 0.0000 4.7282" Properties=species:S:1:pos:R:3 pbc="T T T"
Si 0.0000 0.0000 0.0000
Hg 0.0000 2.3641 2.3641
Hg 2.3641 0.0000 2.3641
Hg 2.3641 2.3641 0.0000
C 2.3641 2.3641 2.3641
```

Energy above the most stable polymorph in this dataset = 0.000 eV per atom
Uncorrected formation energy = 1329 meV/atom
M_tot = 0.00 μB/f.u.
Volume = 105.71 Å³/cell
Symmetry = Pm-3m, No. 221
DOS at the Fermi energy = 3.62 states/eV/cell

9.
SiHgC3 | GGA-PBE | optimized geometry

Geometry as extended XYZ:
```
5
Lattice="4.3160 0.0000 0.0000 0.0000 4.3160 0.0000 0.0000 0.0000 4.3160" Properties=species:S:1:pos:R:3 pbc="T T T"
Si 0.0000 0.0000 0.0000
Hg 2.1580 2.1580 2.1580
C 0.0000 2.1580 2.1580
C 2.1580 0.0000 2.1580
C 2.1580 2.1580 0.0000
```

Energy above the most stable polymorph in this dataset = 1.528 eV per atom
Uncorrected formation energy = 3657 meV/atom
M_tot = 1.97 μB/f.u.
Volume = 80.40 Å³/cell
Symmetry = Pm-3m, No. 221
DOS at the Fermi energy = 4.96 states/eV/cell

10.
SiHgC2 | GGA-PBE | optimized geometry

Geometry as extended XYZ:
```
4
Lattice="0.0000 2.9314 2.9314 2.9314 0.0000 2.9314 2.9314 2.9314 0.0000" Properties=species:S:1:pos:R:3 pbc="T T T"
Si 0.0000 0.0000 0.0000
Hg 2.9314 2.9314 2.9314
C 1.4657 1.4657 1.4657
C 4.3972 4.3972 4.3972
```

Energy above the most stable polymorph in this dataset = 1.471 eV per atom
Uncorrected formation energy = 2540 meV/atom
M_tot = 0.00 μB/f.u.
Volume = 50.38 Å³/cell
Symmetry = Fm-3m, No. 225
DOS at the Fermi energy = 3.40 states/eV/cell

11.
SrSiHgC2 | GGA-PBE | optimized geometry

Geometry as extended XYZ:
```
5
Lattice="4.5541 0.0000 0.0000 0.0000 4.5541 0.0000 0.0000 0.0000 5.0768" Properties=species:S:1:pos:R:3 pbc="T T T"
Sr 0.0000 0.0000 0.0000
Si 2.2770 2.2770 0.0000
Hg 2.2770 2.2770 2.5384
C 0.0000 2.2770 2.5384
C 2.2770 0.0000 2.5384
```

Uncorrected formation energy = 2047 meV/atom
M_tot = 0.18 μB/f.u.
Volume = 105.29 Å³/cell
Symmetry = P4/mmm, No. 123
DOS at the Fermi energy = 2.77 states/eV/cell

12.
Tb4SiHgC | GGA-PBE | optimized geometry

Geometry as extended XYZ:
```
14
Lattice="3.4557 -7.3018 0.0000 3.4557 7.3018 0.0000 0.0000 0.0000 6.9041" Properties=species:S:1:pos:R:3 pbc="T T T"
Tb 1.7278 3.6509 0.0000
Tb 1.7278 3.6509 3.4520
Tb 3.4557 6.1662 5.1780
Tb 3.4557 1.2036 5.1780
Tb 1.7278 -3.6509 0.0000
Tb 1.7278 -3.6509 3.4520
Tb 3.4557 -1.2036 1.7260
Tb 3.4557 -6.1662 1.7260
Si 3.4557 5.4528 1.7260
Si 3.4557 -5.4528 5.1780
Hg 3.4557 1.7022 1.7260
Hg 3.4557 -1.7022 5.1780
C 3.4557 3.6861 5.1780
C 3.4557 -3.6861 1.7260
```

Uncorrected formation energy = -422 meV/atom
M_tot = 0.00 μB/f.u.
Volume = 348.42 Å³/cell
Symmetry = Cmcm, No. 63
DOS at the Fermi energy = 2.58 states/eV/cell

Values for theoretical density, g cm⁻³, ordered as above
7.56, 9.05, 8.68, 7.73, 6.75, 7.69, 7.07, 10.08, 5.47, 8.33, 5.37, 8.35